Below is an optimized crystal structure of SrZnSn, with properties calculated at the PBE-GGA level.

- Crystal system: hexagonal
- Volume: 266 Å³ per cell
- Symmetry: P-62m (189)
- Total energy: -7.307 eV/f.u.

a = 8.9729 Å, b = 8.9729 Å, c = 3.8148 Å
α = 90.00°, β = 90.00°, γ = 120.00°
Fractional positions:
Sr 0.0000 0.2918 0.0000
Sr 0.2918 0.0000 0.0000
Sr 0.7082 0.7082 0.0000
Zn 0.0000 0.6115 0.5000
Zn 0.3885 0.3885 0.5000
Zn 0.6115 0.0000 0.5000
Sn 0.0000 0.0000 0.5000
Sn 0.3333 0.6667 0.0000
Sn 0.6667 0.3333 0.0000